Record 1
Compound: KHgPd4
Source: Alexandria
Functional: PBE
Structure: optimized geometry

- VASP energy: -3.6726 eV/atom
- Formation energy from the elements: 0.022 eV per atom
- Space group: No. 216

Cell and atoms, written as extended XYZ:
```
6
Lattice="-4.324 -0.725 3.273 0.650 -2.293 4.925 -0.547 3.031 4.522" Properties=species:S:1:pos:R:3 pbc="T T T"
Pd -2.967 1.160 5.483
K -1.055 0.003 3.180
Hg 0.000 0.000 0.000
Pd -2.366 -1.514 5.686
Pd -2.641 0.008 7.958
Pd -0.468 0.373 6.314
```

***

Record 2
Compound: YTiIn2Sb
Source: Alexandria
Functional: PBE
Structure: optimized geometry

- E_form (uncorrected): 0.0426 eV per atom
- VASP energy: -4.7490 eV/atom
- Space group: No. 123

Cell and atoms, written as extended XYZ:
```
5
Lattice="5.255 0.000 0.000 0.000 5.164 0.000 0.000 0.000 5.255" Properties=species:S:1:pos:R:3 pbc="T T T"
Ti 0.000 0.000 0.000
Y 2.628 2.582 2.628
In 0.000 0.000 2.628
Sb 0.000 2.582 0.000
In 2.628 0.000 0.000
```

***

Record 3
Compound: HfNbHg2
Source: Alexandria
Functional: PBE
Structure: optimized geometry

- VASP energy: -4.6954 eV/atom
- Formation energy from the elements: 0.461 eV per atom
- Space group: No. 122
- Energy relative to the lowest polymorph listed for this composition: 1.55 eV/f.u.

Cell and atoms, written as extended XYZ:
```
8
Lattice="-7.337 2.190 -1.164 -0.582 -5.053 -5.840 -4.872 -3.493 -1.627" Properties=species:S:1:pos:R:3 pbc="T T T"
Hf -8.084 -1.367 -3.147
Hg -2.537 -3.747 -4.209
Hg -6.627 -3.720 -3.877
Nb -4.707 -4.989 -5.485
Hg -5.839 -0.147 -1.858
Hg -10.580 -5.099 -7.319
Nb -3.959 -1.432 -3.502
Hf 0.000 0.000 0.000
```